a | Pm3Nd (SCAN, single point on PBEsol structure); spin magnetization = 0.00 μB per cell
1.0
5.059 0.000 0.000
0.000 5.059 0.000
-2.530 -2.530 5.054
Nd Pm
1 3
direct
0.000 0.000 0.000 Nd
0.500 0.500 0.000 Pm
0.250 0.750 0.500 Pm
0.750 0.250 0.500 Pm


b | Pm3Nd (SCAN, single point on PBEsol structure); spin magnetization = 0.00 μB per cell
1.0
-2.458 4.418 -2.885
-3.973 1.560 5.773
6.450 3.036 -0.846
Pm Nd
6 2
direct
0.250 0.167 0.833 Pm
0.250 0.667 0.833 Pm
0.750 0.833 0.667 Pm
0.250 0.167 0.333 Pm
0.750 0.333 0.167 Pm
0.750 0.833 0.167 Pm
0.750 0.333 0.667 Nd
0.250 0.667 0.333 Nd


Tell me which of them is the least stable. Sure, it is b.


a | PrNd (SCAN, single point on PBEsol structure); spin magnetization = 0.02 μB per cell
1.0
3.630 0.000 0.000
-1.815 3.143 0.000
0.000 0.000 11.707
Pr Nd
2 2
direct
0.000 0.000 0.000 Pr
0.000 0.000 0.500 Pr
0.667 0.333 0.750 Nd
0.333 0.667 0.250 Nd


b | PrNd (SCAN, single point on PBEsol structure); spin magnetization = 0.03 μB per cell
1.0
-1.933 0.500 3.018
0.200 -3.289 -1.497
4.789 -1.195 3.265
Pr Nd
1 1
direct
0.000 0.000 0.000 Pr
0.667 0.333 0.500 Nd


Tell me which of them is the least stable. Sure, it is b.


a | NdSi2Rh3 (SCAN, single point on PBEsol structure); spin magnetization = 0.00 μB per cell
1.0
5.539 0.000 0.000
2.770 5.988 -0.031
2.770 1.765 5.722
Si Rh Nd
4 6 2
direct
0.723 0.079 0.079 Si
0.619 0.579 0.579 Si
0.381 0.421 0.421 Si
0.277 0.921 0.921 Si
0.500 0.000 0.500 Rh
0.500 0.217 0.783 Rh
0.000 0.717 0.283 Rh
0.500 0.500 0.000 Rh
0.500 0.783 0.217 Rh
0.000 0.283 0.717 Rh
0.964 0.750 0.750 Nd
0.036 0.250 0.250 Nd


b | NdSi2Rh3 (SCAN, single point on PBEsol structure); spin magnetization = 0.00 μB per cell
1.0
3.652 0.000 0.000
0.000 5.508 0.000
0.000 -2.754 4.770
Si Rh Nd
2 3 1
direct
0.000 0.333 0.667 Si
0.000 0.667 0.333 Si
0.500 0.000 0.500 Rh
0.500 0.500 0.000 Rh
0.500 0.500 0.500 Rh
0.000 0.000 0.000 Nd


Tell me which of them is the least stable. Sure, it is b.


a | Nd3Sm (SCAN, single point on PBEsol structure); spin magnetization = 0.00 μB per cell
1.0
5.845 0.000 0.000
0.000 7.195 0.000
0.000 -3.597 6.231
Nd Sm
6 2
direct
0.250 0.167 0.833 Nd
0.750 0.833 0.667 Nd
0.750 0.333 0.167 Nd
0.750 0.833 0.167 Nd
0.250 0.167 0.333 Nd
0.250 0.667 0.833 Nd
0.250 0.667 0.333 Sm
0.750 0.333 0.667 Sm


b | Nd3Sm (SCAN, single point on PBEsol structure); spin magnetization = 0.01 μB per cell
1.0
5.070 0.000 0.000
0.000 5.070 0.000
0.000 0.000 5.070
Sm Nd
1 3
direct
0.000 0.000 0.000 Sm
0.500 0.500 0.000 Nd
0.500 0.000 0.500 Nd
0.000 0.500 0.500 Nd


Tell me which of them is the least stable. Sure, it is a.